{
  "formula": "TbSm2Er6Sc",
  "functional": "PBE",
  "state": "optimized geometry",
  "magmom_total_mub_per_cell": 0.00,
  "e_tot_ev_per_atom": -4.654,
  "n_ef_per_ev_cell": 25.3,
  "delta_e_f_ev_per_atom": 0.124,
  "lattice": [[9.017, -2.049, -2.126], [0.749, 8.372, -1.939], [0.749, -2.247, 8.294]],
  "species": ["Tb", "Tb", "Sm", "Sm", "Sm", "Sm", "Er", "Er", "Er", "Er", "Er", "Er", "Er", "Er", "Er", "Er", "Er", "Er", "Sc", "Sc"],
  "frac_coords": [[0.250, 0.981, 0.019], [0.750, 0.019, 0.981], [0.454, 0.801, 0.700], [0.046, 0.300, 0.199], [0.546, 0.199, 0.300], [0.954, 0.700, 0.801], [0.058, 0.127, 0.746], [0.442, 0.254, 0.873], [0.942, 0.873, 0.254], [0.558, 0.746, 0.127], [0.310, 0.989, 0.430], [0.190, 0.570, 0.011], [0.690, 0.011, 0.570], [0.810, 0.430, 0.989], [0.117, 0.706, 0.495], [0.383, 0.505, 0.294], [0.883, 0.294, 0.505], [0.617, 0.495, 0.706], [0.250, 0.410, 0.590], [0.750, 0.590, 0.410]]
}